Material: HoTl2Ni3F12
Method: DFT, PBE with a Hubbard U
State: relaxed

The magnetization is 5.0 μB per formula unit. Its uncorrected energy is -4.60 eV per atom.

Structure (CIF):
```
data_HoTl2Ni3F12
_chemical_formula_sum 'Ho3 Tl6 Ni9 F36'
_symmetry_space_group_name_H-M 'R -3 m'
_symmetry_Int_Tables_number 166
_symmetry_space_group_name_Hall '-R 3 2"'
_cell_length_a 7.4455
_cell_length_b 7.4455
_cell_length_c 15.3961
_cell_angle_alpha 90.00
_cell_angle_beta 90.00
_cell_angle_gamma 120.00
loop_
_atom_site_label
_atom_site_type_symbol
_atom_site_fract_x
_atom_site_fract_y
_atom_site_fract_z
_atom_site_occupancy
Ho1 Ho 0.0000 0.0000 0.0000 1
Tl1 Tl 0.0000 0.0000 0.3941 1
Ni1 Ni 0.0000 0.5000 0.5000 1
F1 F 0.0450 0.5225 0.3717 1
F2 F 0.0957 0.5478 0.7961 1
```